No. 1
! Hf12Co6Rh PBE optimized geometry; values from VASP
! calculated volume: 386.4 Å³/cell
! symmetry: R-3, No. 148
! DFT total energy: -9.002 eV/atom
! E_form: -0.085 eV/atom
! relative energy among the computed polymorphs: 0.255 eV/atom
! density of states at the Fermi level: 0.90 states/eV/atom
&SYSTEM
  ibrav = 0, nat = 19, ntyp = 3
/
ATOMIC_SPECIES
Hf 178.49 Hf.upf
Co 58.93 Co.upf
Rh 102.91 Rh.upf
CELL_PARAMETERS angstrom
5.705 3.294 3.427
-5.705 3.294 3.427
0.000 -6.587 3.427
ATOMIC_POSITIONS angstrom
Hf -4.883 -1.131 5.707
Hf -1.462 -4.794 4.575
Hf -2.273 -0.320 4.035
Hf -3.421 3.663 4.575
Hf 1.414 -1.809 4.035
Hf -0.860 -2.129 6.247
Hf 0.860 2.129 4.035
Hf -1.414 1.809 6.247
Hf 3.421 -3.663 5.707
Hf 2.273 0.320 6.247
Hf 1.462 4.794 5.707
Hf 4.883 1.131 4.575
Co -0.948 -2.572 3.599
Co -1.753 2.107 3.599
Co -2.702 -0.465 6.683
Co 2.702 0.465 3.599
Co 1.753 -2.107 6.683
Co 0.948 2.572 6.683
Rh 0.000 0.000 0.000

***

No. 2
! LiTm2CdHg4 PBE optimized geometry; values from VASP
! calculated volume: 177.6 Å³/cell
! symmetry: R-3m, No. 166
! DFT total energy: -2.020 eV/atom
! E_form: -0.398 eV/atom
! density of states at the Fermi level: 0.41 states/eV/atom
&SYSTEM
  ibrav = 0, nat = 8, ntyp = 4
/
ATOMIC_SPECIES
Li 6.94 Li.upf
Tm 168.93 Tm.upf
Cd 112.41 Cd.upf
Hg 200.59 Hg.upf
CELL_PARAMETERS angstrom
2.501 1.444 8.197
-2.501 1.444 8.197
0.000 -2.888 8.197
ATOMIC_POSITIONS angstrom
Li 0.000 0.000 0.000
Tm 0.000 0.000 6.082
Tm 0.000 0.000 18.510
Cd 0.000 0.000 12.296
Hg 0.000 0.000 2.927
Hg 0.000 0.000 9.099
Hg 0.000 0.000 15.493
Hg 0.000 0.000 21.666

***

- Which formula does entry 1 have?
  Hf12Co6Rh

***

Copy entry 1 word for word.
! Hf12Co6Rh PBE optimized geometry; values from VASP
! calculated volume: 386.4 Å³/cell
! symmetry: R-3, No. 148
! DFT total energy: -9.002 eV/atom
! E_form: -0.085 eV/atom
! relative energy among the computed polymorphs: 0.255 eV/atom
! density of states at the Fermi level: 0.90 states/eV/atom
&SYSTEM
  ibrav = 0, nat = 19, ntyp = 3
/
ATOMIC_SPECIES
Hf 178.49 Hf.upf
Co 58.93 Co.upf
Rh 102.91 Rh.upf
CELL_PARAMETERS angstrom
5.705 3.294 3.427
-5.705 3.294 3.427
0.000 -6.587 3.427
ATOMIC_POSITIONS angstrom
Hf -4.883 -1.131 5.707
Hf -1.462 -4.794 4.575
Hf -2.273 -0.320 4.035
Hf -3.421 3.663 4.575
Hf 1.414 -1.809 4.035
Hf -0.860 -2.129 6.247
Hf 0.860 2.129 4.035
Hf -1.414 1.809 6.247
Hf 3.421 -3.663 5.707
Hf 2.273 0.320 6.247
Hf 1.462 4.794 5.707
Hf 4.883 1.131 4.575
Co -0.948 -2.572 3.599
Co -1.753 2.107 3.599
Co -2.702 -0.465 6.683
Co 2.702 0.465 3.599
Co 1.753 -2.107 6.683
Co 0.948 2.572 6.683
Rh 0.000 0.000 0.000